No. 1
{"formula": "Cd2SiN", "functional": "PBE", "state": "relaxed", "lattice_angstrom": [[6.115, 0.000, 0.000], [0.000, 6.115, 0.000], [3.057, 3.057, 4.430]], "species": ["Si", "Cd", "Si", "N", "Cd", "Cd", "N", "Cd"], "frac_coords": [[0.750, 0.250, 0.500], [0.197, 0.625, 0.250], [0.000, 0.000, 0.000], [0.500, 0.500, 0.000], [0.553, 0.125, 0.250], [0.875, 0.803, 0.750], [0.250, 0.750, 0.500], [0.375, 0.447, 0.750]], "energy_ev_per_cell": -24.744, "formation_energy_uncorrected_ev_per_atom": 0.8016, "sg": "No. 122"}

---

No. 2
{"formula": "CdSi3N", "functional": "PBE", "state": "relaxed", "lattice_angstrom": [[4.919, 0.000, 0.000], [0.000, 4.919, 0.000], [0.000, 0.000, 4.919]], "species": ["Cd", "Si", "N", "Si", "Si"], "frac_coords": [[0.000, 0.000, 0.000], [0.500, 0.000, 0.000], [0.500, 0.500, 0.500], [0.000, 0.500, 0.000], [0.000, 0.000, 0.500]], "energy_ev_per_cell": -13.797, "formation_energy_uncorrected_ev_per_atom": 2.3426, "sg": "No. 221"}

---

No. 3
{"formula": "CdSi3N", "functional": "PBE", "state": "relaxed", "lattice_angstrom": [[-0.724, 3.396, -2.373], [-3.986, 0.085, 1.338], [1.128, 2.480, 3.204]], "species": ["N", "Si", "Si", "Si", "Cd"], "frac_coords": [[0.000, 0.000, 0.000], [0.000, 0.500, 0.000], [0.000, 0.000, 0.500], [0.500, 0.000, 0.000], [0.500, 0.500, 0.500]], "energy_ev_per_cell": -21.911, "formation_energy_uncorrected_ev_per_atom": 0.7198, "sg": "No. 221"}

---

| no. | energy relative to the lowest polymorph listed for this composition (eV/atom) |
| --- | --- |
| 1 | 0.000 |
| 2 | 1.623 |
| 3 | 0.000 |